Record 1
## Be2ReAg (PBE-GGA)

Data for a geometry-optimized Be2ReAg structure.

It has space group F-43m (No. 216), with a = 5.9621 Å, b = 5.9621 Å, c = 5.9621 Å, α = 90.00°, β = 90.00° and γ = 90.00°. The asymmetric unit holds Be at (0.0000, 0.0000, 0.0000), Be at (0.2500, 0.2500, 0.2500), Re at (0.2500, 0.2500, 0.7500) and Ag at (0.0000, 0.0000, 0.5000).

The formation energy is 795 meV/atom. The value obtained for the magnetic moment is 5.9 Bohr magnetons per cell. Its density is 9.78 g/cm3. The volume is 53.0 Å³/f.u.

Record 2
## TiBe2ReAg (PBE-GGA)

Data for a geometry-optimized TiBe2ReAg structure.

It has space group P4/mmm (No. 123), with a = 4.3995 Å, b = 4.3995 Å, c = 4.5416 Å, α = 90.00°, β = 90.00° and γ = 90.00°. The asymmetric unit holds Ti at (0.0000, 0.0000, 0.0000), Be at (0.0000, 0.5000, 0.5000), Re at (0.0000, 0.0000, 0.5000) and Ag at (0.5000, 0.5000, 0.0000).

The formation energy is 831 meV/atom. The value obtained for the magnetic moment is 0.0 Bohr magnetons per cell. Its density is 6.80 g/cm3. The volume is 87.9 Å³/f.u.